Here is YLuThZr after structural relaxation from the Alexandria database. Energies are from PBE.

Energy of formation from the pure elements in eV per atom: 0.1542
N(E_F) in states/eV/cell: 29.88
Energy in eV/cell: -105.35

Geometry as CIF:
```
data_YLuThZr
_chemical_formula_sum 'Y4 Lu4 Th4 Zr4'
_symmetry_space_group_name_H-M 'F -4 3 m'
_symmetry_Int_Tables_number 216
_symmetry_space_group_name_Hall 'F -4 2 3'
_cell_length_a 7.725
_cell_length_b 7.725
_cell_length_c 7.725
_cell_angle_alpha 90.00
_cell_angle_beta 90.00
_cell_angle_gamma 90.00
loop_
_atom_site_label
_atom_site_fract_x
_atom_site_fract_y
_atom_site_fract_z
Y1 0.000 0.000 0.000
Lu1 0.250 0.250 0.250
Th1 0.000 0.000 0.500
Zr1 0.250 0.250 0.750
```


Here is SrLa2Te after structural relaxation from the Alexandria database. Energies are from PBE.

Formation energy (no corrections) in meV/atom: -609
N(E_F) in states/eV/cell: 18.27
Energy in eV/cell: -51.34

Geometry as CIF:
```
data_SrLa2Te
_chemical_formula_sum 'Sr3 La6 Te3'
_symmetry_space_group_name_H-M 'R -3 m'
_symmetry_Int_Tables_number 166
_symmetry_space_group_name_Hall '-R 3 2"'
_cell_length_a 4.2525
_cell_length_b 4.2525
_cell_length_c 32.5070
_cell_angle_alpha 90.00
_cell_angle_beta 90.00
_cell_angle_gamma 120.00
loop_
_atom_site_label
_atom_site_fract_x
_atom_site_fract_y
_atom_site_fract_z
Sr1 0.0000 0.0000 0.0000
La1 0.0000 0.0000 0.2285
Te1 0.0000 0.0000 0.5000
```